A plane-wave DFT calculation with PBE-GGA was carried out for a geometry-optimized HgIr4W structure.

Unit cell a=7.339 b=7.339 c=7.339 alpha=90.00 beta=90.00 gamma=90.00
Space group F-43m (No. 216)
One atom of each set of equivalent atoms:
Hg 0.000 0.000 0.000 (multiplicity 4)
Ir 0.125 0.125 0.375 (multiplicity 16)
W 0.250 0.250 0.750 (multiplicity 4)


A plane-wave DFT calculation with PBE-GGA was carried out for a geometry-optimized Hg2IrW structure.

Unit cell a=7.646 b=7.646 c=5.397 alpha=90.00 beta=90.00 gamma=90.00
Space group I-42d (No. 122)
One atom of each set of equivalent atoms:
Hg 0.245 0.750 0.125 (multiplicity 8)
Ir 0.000 0.000 0.000 (multiplicity 4)
W 0.000 0.000 0.500 (multiplicity 4)

relative energy among the computed polymorphs = 955 meV per atom


A plane-wave DFT calculation with PBE-GGA was carried out for a geometry-optimized Hg2IrW structure.

Unit cell a=6.287 b=2.859 c=9.668 alpha=90.00 beta=108.19 gamma=90.00
Space group Cm (No. 8)
One atom of each set of equivalent atoms:
Hg 0.000 0.000 0.000 (multiplicity 2)
Hg 0.115 0.500 0.291 (multiplicity 2)
Ir 0.159 0.000 0.559 (multiplicity 2)
W 0.010 0.500 0.737 (multiplicity 2)

relative energy among the computed polymorphs = 172 meV per atom


A plane-wave DFT calculation with PBE-GGA was carried out for a geometry-optimized Hg2IrW structure.

Unit cell a=4.091 b=4.091 c=8.635 alpha=90.00 beta=90.00 gamma=90.00
Space group I4/mmm (No. 139)
One atom of each set of equivalent atoms:
Hg 0.000 0.500 0.250 (multiplicity 4)
Ir 0.000 0.000 0.000 (multiplicity 2)
W 0.000 0.000 0.500 (multiplicity 2)

relative energy among the computed polymorphs = 640 meV per atom


A plane-wave DFT calculation with PBE-GGA was carried out for a geometry-optimized Y2HgIr structure.

Unit cell a=7.781 b=7.781 c=6.962 alpha=90.00 beta=90.00 gamma=90.00
Space group I-42d (No. 122)
One atom of each set of equivalent atoms:
Y 0.211 0.750 0.125 (multiplicity 8)
Hg 0.000 0.000 0.500 (multiplicity 4)
Ir 0.000 0.000 0.000 (multiplicity 4)


A plane-wave DFT calculation with PBE-GGA was carried out for a geometry-optimized Y2HgIr2 structure.

Unit cell a=8.248 b=8.248 c=3.256 alpha=90.00 beta=90.00 gamma=90.00
Space group P4/mbm (No. 127)
One atom of each set of equivalent atoms:
Y 0.152 0.348 0.000 (multiplicity 4)
Hg 0.000 0.000 0.000 (multiplicity 2)
Ir 0.139 0.639 0.500 (multiplicity 4)


A plane-wave DFT calculation with PBE-GGA was carried out for a geometry-optimized Y2HgIr2 structure.

Unit cell a=5.400 b=5.400 c=8.169 alpha=90.00 beta=90.00 gamma=90.00
Space group I4/mmm (No. 139)
One atom of each set of equivalent atoms:
Y 0.000 0.500 0.250 (multiplicity 4)
Hg 0.000 0.000 0.000 (multiplicity 2)
Ir 0.000 0.000 0.344 (multiplicity 4)


A plane-wave DFT calculation with PBE-GGA was carried out for a geometry-optimized Y4HgIr3 structure.

Unit cell a=4.987 b=4.987 c=6.921 alpha=90.00 beta=90.00 gamma=90.00
Space group P4/mmm (No. 123)
One atom of each set of equivalent atoms:
Y 0.000 0.500 0.239 (multiplicity 4)
Hg 0.000 0.000 0.500 (multiplicity 1)
Ir 0.000 0.000 0.000 (multiplicity 1)
Ir 0.500 0.500 0.000 (multiplicity 1)
Ir 0.500 0.500 0.500 (multiplicity 1)


A plane-wave DFT calculation with PBE-GGA was carried out for a geometry-optimized YHgIr structure.

Unit cell a=6.631 b=6.631 c=6.631 alpha=90.00 beta=90.00 gamma=90.00
Space group F-43m (No. 216)
One atom of each set of equivalent atoms:
Y 0.000 0.000 0.000 (multiplicity 4)
Hg 0.000 0.000 0.500 (multiplicity 4)
Ir 0.250 0.250 0.750 (multiplicity 4)


A plane-wave DFT calculation with PBE-GGA was carried out for a geometry-optimized Y2HgIr structure.

Unit cell a=3.443 b=4.657 c=12.310 alpha=90.00 beta=90.00 gamma=90.00
Space group Imm2 (No. 44)
One atom of each set of equivalent atoms:
Y 0.000 0.000 0.000 (multiplicity 2)
Y 0.000 0.500 0.212 (multiplicity 2)
Hg 0.000 0.000 0.392 (multiplicity 2)
Ir 0.000 0.500 0.686 (multiplicity 2)


A plane-wave DFT calculation with PBE-GGA was carried out for a geometry-optimized Y2HgIr structure.

Unit cell a=3.628 b=3.628 c=7.439 alpha=90.00 beta=90.00 gamma=90.00
Space group P4mm (No. 99)
One atom of each set of equivalent atoms:
Y 0.000 0.000 0.000 (multiplicity 1)
Y 0.500 0.500 0.370 (multiplicity 1)
Hg 0.000 0.000 0.598 (multiplicity 1)
Ir 0.500 0.500 0.818 (multiplicity 1)


A plane-wave DFT calculation with PBE-GGA was carried out for a geometry-optimized Y2HgIr2 structure.

Unit cell a=7.629 b=7.629 c=3.713 alpha=90.00 beta=90.00 gamma=90.00
Space group P4/mbm (No. 127)
One atom of each set of equivalent atoms:
Y 0.166 0.334 0.000 (multiplicity 4)
Hg 0.000 0.000 0.500 (multiplicity 2)
Ir 0.132 0.632 0.500 (multiplicity 4)


The following ΔH_f (0 K) values (in eV/atom) correspond, in order, to the records above: 0.497 1.204 0.422 0.890 -0.234 -0.358 -0.394 -0.688 -0.366 -0.484 -0.239 -0.586.
The following N(E_F) values (in states/eV/cell) correspond, in order, to the records above: 18.62 14.33 4.26 5.81 16.17 3.39 7.83 5.80 1.69 5.83 4.44 6.32.